(1)
## LiMg2Ag (PBE)

Data for a geometry-optimized LiMg2Ag structure.

* N(E_F): 0.283 states/eV/atom
* formation enthalpy at 0 K: -0.66 eV per formula unit
* spin magnetization: 0.0 μB per formula unit
* space-group type: Cm

a b c (Å): 10.664 3.316 4.714
angles (deg): 90.00 114.35 90.00
Sites, in units of the cell vectors:
Li1 0.000 0.000 0.000
Li2 0.500 0.500 0.000
Mg1 0.235 0.000 0.746
Mg2 0.464 0.000 0.463
Mg3 0.735 0.500 0.746
Mg4 0.964 0.500 0.463
Ag1 0.224 0.500 0.236
Ag2 0.724 0.000 0.236

***

(2)
## LiMgAg (PBE)

Data for a geometry-optimized LiMgAg structure.

* N(E_F): 0.240 states/eV/atom
* formation enthalpy at 0 K: -0.61 eV per formula unit
* spin magnetization: 0.0 μB per formula unit
* space-group type: I4mm

a b c (Å): 3.367 3.367 9.447
angles (deg): 90.00 90.00 90.00
Sites, in units of the cell vectors:
Li1 0.000 0.000 0.000
Li2 0.500 0.500 0.500
Mg1 0.000 0.000 0.317
Mg2 0.500 0.500 0.817
Ag1 0.000 0.000 0.646
Ag2 0.500 0.500 0.146

***

(3)
## LiMg2Ag5 (PBE)

Data for a geometry-optimized LiMg2Ag5 structure.

* N(E_F): 0.175 states/eV/atom
* formation enthalpy at 0 K: -1.48 eV per formula unit
* spin magnetization: 0.0 μB per formula unit
* space-group type: I4mm

a b c (Å): 5.922 5.922 8.114
angles (deg): 90.00 90.00 90.00
Sites, in units of the cell vectors:
Li1 0.000 0.000 0.000
Li2 0.500 0.500 0.500
Mg1 0.000 0.500 0.499
Mg2 0.000 0.500 0.999
Mg3 0.500 0.000 0.499
Mg4 0.500 0.000 0.999
Ag1 0.000 0.000 0.499
Ag2 0.250 0.250 0.249
Ag3 0.250 0.250 0.749
Ag4 0.250 0.750 0.249
Ag5 0.250 0.750 0.749
Ag6 0.500 0.500 0.999
Ag7 0.750 0.250 0.249
Ag8 0.750 0.250 0.749
Ag9 0.750 0.750 0.249
Ag10 0.750 0.750 0.749